Entry from Alexandria via LeMat-Bulk: a relaxed KSn2MoF8 crystal (PBE+U).

Unit cell a=4.9173 b=5.5964 c=7.8524 alpha=87.03 beta=87.69 gamma=89.07
Closest atoms and distances in Å follow each position.
Element x y z (fractional)
F  0.2999  0.3526  0.5665  1 Sn 2.10
F  0.8152  0.2040  0.1943  1 Mo 2.12
F  0.1848  0.7960  0.8057  1 Mo 2.12
F  0.7524  0.1252  0.7992  1 Mo 2.11, 1 Sn 2.37
F  0.7001  0.6474  0.4335  1 Sn 2.10
F  0.2476  0.8748  0.2008  1 Mo 2.11, 1 Sn 2.37
F  0.7462  0.7027  0.0616  1 Mo 2.12, 1 Sn 2.23
F  0.2538  0.2973  0.9384  1 Mo 2.12, 1 Sn 2.23
Sn  0.5304  0.5004  0.7538  2 F 2.10-2.23
Sn  0.4696  0.4996  0.2462  2 F 2.10-2.23
Mo  0.0000  0.0000  0.0000  6 F 2.11-2.12
K  0.0000  0.0000  0.5000  6 F 2.57-2.78

Summary:
Symmetry   P-1
E_tot   -61.0 eV/cell